Below is YMg2 after structural relaxation, with properties calculated at the GGA-PBEsol level.

Unit cell a=5.988 b=5.988 c=5.988 alpha=60.00 beta=60.00 gamma=60.00
Fractional positions:
Mg (0.125, 0.125, 0.625)
Y (0.500, 0.500, 0.500)
Y (0.750, 0.750, 0.750)
Mg (0.125, 0.125, 0.125)
Mg (0.625, 0.125, 0.125)
Mg (0.125, 0.625, 0.125)

Output
- Mass density: 3.0 g cm⁻³
- Crystal system: cubic
- Calculated total energy: -21.0 eV for the cell shown

***

Below is FeNiRu2 after structural relaxation, with properties calculated at the GGA-PBEsol level.

Unit cell a=2.621 b=3.632 c=5.103 alpha=90.00 beta=90.00 gamma=90.00
Each line ends with the local moment (μB).
Fractional positions:
Ru (0.000, 0.000, 0.999)  0.03
Fe (0.000, 0.000, 0.513)  2.33
Ru (0.500, 0.500, 0.247)  -0.06
Ni (0.500, 0.500, 0.741)  0.32

Output
- Mass density: 10.8 g cm⁻³
- Crystal system: orthorhombic
- Calculated total energy: -35.0 eV for the cell shown

***

Below is Al2CuSb after structural relaxation, with properties calculated at the GGA-PBEsol level.

Unit cell a=3.912 b=3.912 c=5.386 alpha=111.29 beta=111.29 gamma=90.00
Fractional positions:
Al (0.250, 0.750, 0.500)
Cu (0.500, 0.500, 0.000)
Sb (0.000, 0.000, 0.000)
Al (0.750, 0.250, 0.500)

Output
- Mass density: 5.6 g cm⁻³
- Crystal system: tetragonal
- Calculated total energy: -16.3 eV for the cell shown

***

Below is TcAg2Cl after structural relaxation, with properties calculated at the GGA-PBEsol level.

Unit cell a=2.754 b=4.038 c=6.794 alpha=107.29 beta=101.70 gamma=90.00
Fractional positions:
Ag (0.305, 0.305, 0.610)
Tc (0.000, 0.500, 0.000)
Ag (0.695, 0.695, 0.390)
Cl (0.500, 0.000, 0.000)

Output
- Mass density: 8.2 g cm⁻³
- Energy above the most stable polymorph in this dataset: 0.0000 eV per atom
- Crystal system: orthorhombic
- Calculated total energy: -17.7 eV for the cell shown

***

Below is Sb2PRh after structural relaxation, with properties calculated at the GGA-PBEsol level.

Unit cell a=4.827 b=3.190 c=4.825 alpha=90.00 beta=90.00 gamma=90.00
Fractional positions:
P (0.500, 0.500, 0.000)
Rh (0.000, 0.500, 0.500)
Sb (0.500, 0.000, 0.500)
Sb (0.000, 0.000, 0.000)

Output
- Mass density: 8.4 g cm⁻³
- Crystal system: tetragonal
- Calculated total energy: -22.1 eV for the cell shown

***

Below is RbPd2SeBr after structural relaxation, with properties calculated at the GGA-PBEsol level.

Unit cell a=4.959 b=4.959 c=6.039 alpha=90.00 beta=90.00 gamma=90.00
Fractional positions:
Br (0.500, 0.500, 0.500)
Pd (0.000, 0.500, 0.000)
Pd (0.500, 0.000, 0.000)
Se (0.000, 0.000, 0.500)
Rb (0.000, 0.000, 0.000)

Output
- Mass density: 5.1 g cm⁻³
- Crystal system: tetragonal
- Calculated total energy: -11.8 eV for the cell shown

***

Below is LaAlAs2 after structural relaxation, with properties calculated at the GGA-PBEsol level.

Unit cell a=4.017 b=4.017 c=6.104 alpha=90.00 beta=90.00 gamma=90.00
Fractional positions:
Al (0.500, 0.500, 0.894)
As (0.000, 0.000, 0.892)
La (0.000, 0.000, 0.412)
As (0.500, 0.500, 0.302)

Output
- Mass density: 5.3 g cm⁻³
- Crystal system: tetragonal
- Calculated total energy: -22.0 eV for the cell shown

***

Below is Cu5Pt6 after structural relaxation, with properties calculated at the GGA-PBEsol level.

Unit cell a=4.601 b=5.995 c=6.005 alpha=107.74 beta=97.64 gamma=104.81
Fractional positions:
Pt (0.323, 0.767, 0.872)
Pt (0.949, 0.321, 0.594)
Cu (0.229, 0.410, 0.045)
Cu (0.409, 0.142, 0.683)
Pt (0.677, 0.233, 0.128)
Cu (0.591, 0.858, 0.317)
Cu (0.500, 0.500, 0.500)
Cu (0.771, 0.590, 0.955)
Pt (0.860, 0.952, 0.765)
Pt (0.051, 0.679, 0.406)
Pt (0.140, 0.048, 0.235)

Output
- Mass density: 16.6 g cm⁻³
- Energy above the most stable polymorph in this dataset: 0.0100 eV per atom
- Crystal system: triclinic
- Calculated total energy: -64.4 eV for the cell shown

***

> The highest mass density belongs to which entry?

Cu5Pt6